This record from Alexandria via LeMat-Bulk describes crystalline AlSbS3 at its relaxed geometry. The functional is PBE.

Properties
The value obtained for the magnetization is 0.000 μB/cell. The density of states at the Fermi level is 0.000 states/eV/atom. Its energy above the most stable polymorph in this dataset is 4 meV/atom. Its uncorrected formation energy is -0.637 eV/atom.

Unit cell a=8.6157 b=6.1001 c=10.8667 alpha=90.00 beta=115.84 gamma=90.00
Space group P2_1/c (No. 14)
One atom of each set of equivalent atoms:
1 Al 0.0849 0.2369 0.0564
2 Sb 0.2807 0.7271 0.7565
3 S 0.0252 0.0612 0.8516
4 S 0.1907 0.5887 0.0236
5 S 0.3601 0.1411 0.2124

This record from Alexandria via LeMat-Bulk describes crystalline AlSbS4 at its relaxed geometry. The functional is PBE.

Properties
The value obtained for the magnetization is 0.000 μB/cell. Its uncorrected formation energy is -0.476 eV/atom.

Unit cell a=15.0381 b=3.5544 c=6.0997 alpha=90.00 beta=113.08 gamma=90.00
Space group C2/m (No. 12)
One atom of each set of equivalent atoms:
1 Al 0.0000 0.0000 0.0000
2 Sb 0.0000 0.5000 0.5000
3 S 0.1004 0.5000 0.2589
4 S 0.1068 0.0000 0.7822